[1]
DFT (GGA-PBE) results for BaTa2Ru after structural relaxation.

Unit cell a=6.033 b=6.033 c=6.033 alpha=149.41 beta=128.23 gamma=61.34
Positions (direct):
Ba: 0.000 0.000 0.000
Ta: 0.438 0.438 0.000
Ta: 0.705 0.205 0.500
Ru: 0.256 0.756 0.500

Output
SG   Imm2, No. 44
ΔH_f (0 K)   0.87 eV/atom
ΔE to the lowest computed polymorph   516 meV per atom

---

[2]
DFT (GGA-PBE) results for SrMgRuSe2 after structural relaxation.

Unit cell a=5.698 b=5.698 c=5.035 alpha=90.00 beta=90.00 gamma=90.00
Positions (direct):
Sr: 0.000 0.000 0.000
Mg: 0.500 0.500 0.500
Ru: 0.000 0.000 0.500
Se: 0.000 0.500 0.000
Se: 0.500 0.000 0.000

Output
SG   P4/mmm, No. 123
E_form (uncorrected)   835 meV/atom

---

[3]
DFT (GGA-PBE) results for PmSc5Pd6 after structural relaxation.

Unit cell a=7.612 b=7.612 c=6.595 alpha=90.00 beta=90.00 gamma=143.29
Positions (direct):
Pm: 0.000 0.000 0.000
Sc: 0.000 0.000 0.500
Sc: 0.330 0.670 0.000
Sc: 0.334 0.666 0.500
Sc: 0.666 0.334 0.500
Sc: 0.670 0.330 0.000
Pd: 0.175 0.825 0.257
Pd: 0.175 0.825 0.743
Pd: 0.500 0.500 0.269
Pd: 0.500 0.500 0.731
Pd: 0.825 0.175 0.257
Pd: 0.825 0.175 0.743

Output
SG   Cmmm, No. 65
ΔH_f (0 K)   -0.85 eV/atom

---

[4]
DFT (GGA-PBE) results for SiTeO2F after structural relaxation.

Unit cell a=4.216 b=4.216 c=4.500 alpha=90.00 beta=90.00 gamma=90.00
Positions (direct):
Si: 0.000 0.000 0.000
Te: 0.500 0.500 0.500
O: 0.000 0.500 0.500
O: 0.500 0.000 0.500
F: 0.500 0.500 0.000

Output
SG   P4/mmm, No. 123
E_form (uncorrected)   -313 meV/atom

---

[5]
DFT (GGA-PBE) results for LaMnAg2 after structural relaxation.

Unit cell a=3.369 b=4.568 c=6.008 alpha=90.00 beta=106.15 gamma=90.00
Positions (direct):
La: 0.000 0.000 0.000
Mn: 0.617 0.500 0.237
Ag: 0.329 0.500 0.660
Ag: 0.737 0.000 0.478

Output
SG   Pm, No. 6
ΔH_f (0 K)   0.18 eV/atom

---

[6]
DFT (GGA-PBE) results for TmHgPb after structural relaxation.

Unit cell a=4.892 b=6.403 c=6.431 alpha=101.11 beta=111.81 gamma=112.41
Positions (direct):
Tm: 0.062 0.381 0.238
Tm: 0.938 0.619 0.762
Hg: 0.446 0.103 0.284
Hg: 0.554 0.897 0.716
Pb: 0.254 0.247 0.766
Pb: 0.746 0.753 0.234

Output
SG   P-1, No. 2
ΔH_f (0 K)   -0.31 eV/atom

---

no.,density of states at the Fermi level (states/eV per atom),ρ (g/cm³)
1,0.9500,11.46
2,1.1579,3.77
3,0.6292,7.33
4,0.3346,4.29
5,0.7001,7.66
6,0.2944,12.03